1.
First-principles (PBE) data for a relaxed structure of RbTlCd2, as listed in the Alexandria database.

SG: P4/mmm
Crystal system: tetragonal

abc: 5.337 5.337 4.784
angles: 90.00 90.00 90.00
Fractional coordinates of all 4 atoms:
Rb (0.000, 0.000, 0.000)
Tl (0.500, 0.500, 0.000)
Cd (0.000, 0.500, 0.500)
Cd (0.500, 0.000, 0.500)

***

2.
First-principles (PBE) data for a relaxed structure of RbTl2Cd3, as listed in the Alexandria database.

SG: C2/m
Crystal system: monoclinic

abc: 8.763 8.763 11.426
angles: 116.97 116.97 29.06
Fractional coordinates of all 12 atoms:
Rb (0.111, 0.111, 0.472)
Rb (0.889, 0.889, 0.528)
Tl (0.220, 0.220, 0.264)
Tl (0.412, 0.412, 0.248)
Tl (0.588, 0.588, 0.752)
Tl (0.780, 0.780, 0.736)
Cd (0.076, 0.076, 0.947)
Cd (0.257, 0.257, 0.919)
Cd (0.429, 0.429, 0.849)
Cd (0.571, 0.571, 0.151)
Cd (0.743, 0.743, 0.081)
Cd (0.924, 0.924, 0.053)

***

Number 1: ΔH_f (0 K) 83 meV per atom. Number 2: ΔH_f (0 K) -47 meV per atom.